*a*
# Zr2InAu2 (GGA-PBE, optimized geometry)
data_Zr2InAu2
_symmetry_space_group_name_H-M 'P 1'
_symmetry_Int_Tables_number 1
_cell_length_a 7.6144
_cell_length_b 7.6144
_cell_length_c 3.6294
_cell_angle_alpha 90.00
_cell_angle_beta 90.00
_cell_angle_gamma 90.00
loop_
_symmetry_equiv_pos_as_xyz
'x,y,z'
loop_
_atom_site_label
_atom_site_fract_x
_atom_site_fract_y
_atom_site_fract_z
Au1 0.8716 0.6284 0.0000
Zr1 0.1724 0.6724 0.5000
Zr2 0.3276 0.1724 0.5000
Zr3 0.8276 0.3276 0.5000
Zr4 0.6724 0.8276 0.5000
Au2 0.1284 0.3716 0.0000
In1 0.5000 0.5000 0.0000
In2 0.0000 0.0000 0.0000
Au3 0.6284 0.1284 0.0000
Au4 0.3716 0.8716 0.0000
# SG: P4/mbm (127)
# total magnetic moment: 0.0 μB/f.u.

=====

*b*
# Zr2InAu2 (GGA-PBE, optimized geometry)
data_Zr2InAu2
_symmetry_space_group_name_H-M 'P 1'
_symmetry_Int_Tables_number 1
_cell_length_a 4.4623
_cell_length_b 4.4623
_cell_length_c 6.7450
_cell_angle_alpha 70.68
_cell_angle_beta 70.68
_cell_angle_gamma 90.00
loop_
_symmetry_equiv_pos_as_xyz
'x,y,z'
loop_
_atom_site_label
_atom_site_fract_x
_atom_site_fract_y
_atom_site_fract_z
In1 0.0000 0.0000 0.0000
Zr1 0.7500 0.2500 0.5000
Au1 0.3913 0.3913 0.2173
Zr2 0.2500 0.7500 0.5000
Au2 0.6087 0.6087 0.7827
# SG: I4/mmm (139)
# total magnetic moment: 0.0 μB/f.u.

=====

Which of them is the most stable, and which is the least stable? *a* and *b*, in that order.

=====

*a*
# Zr2InAu2 (GGA-PBE, optimized geometry)
data_Zr2InAu2
_symmetry_space_group_name_H-M 'P 1'
_symmetry_Int_Tables_number 1
_cell_length_a 7.6323
_cell_length_b 7.6323
_cell_length_c 7.1263
_cell_angle_alpha 90.00
_cell_angle_beta 90.00
_cell_angle_gamma 90.00
loop_
_symmetry_equiv_pos_as_xyz
'x,y,z'
loop_
_atom_site_label
_atom_site_fract_x
_atom_site_fract_y
_atom_site_fract_z
Au1 0.6294 0.6294 0.2042
Zr1 0.6969 0.3031 0.0000
Zr2 0.1969 0.1969 0.5000
Zr3 0.1461 0.1461 0.0000
Au2 0.8706 0.1294 0.2958
Au3 0.3706 0.3706 0.7958
In1 0.0000 0.5000 0.2500
In2 0.5000 0.0000 0.7500
Au4 0.1294 0.8706 0.2958
Zr4 0.3539 0.6461 0.5000
Au5 0.3706 0.3706 0.2042
Zr5 0.8031 0.8031 0.5000
Zr6 0.6461 0.3539 0.5000
In3 0.5000 0.0000 0.2500
Zr7 0.8539 0.8539 0.0000
Zr8 0.3031 0.6969 0.0000
Au6 0.8706 0.1294 0.7042
In4 0.0000 0.5000 0.7500
Au7 0.1294 0.8706 0.7042
Au8 0.6294 0.6294 0.7958
# SG: P4_2/mnm (136)
# total magnetic moment: 0.0 μB/f.u.

=====

*b*
# Zr2InAu2 (GGA-PBE, optimized geometry)
data_Zr2InAu2
_symmetry_space_group_name_H-M 'P 1'
_symmetry_Int_Tables_number 1
_cell_length_a 8.1182
_cell_length_b 8.1182
_cell_length_c 3.3265
_cell_angle_alpha 90.00
_cell_angle_beta 90.00
_cell_angle_gamma 90.00
loop_
_symmetry_equiv_pos_as_xyz
'x,y,z'
loop_
_atom_site_label
_atom_site_fract_x
_atom_site_fract_y
_atom_site_fract_z
Zr1 0.1660 0.3340 0.0000
Au1 0.1290 0.6290 0.5000
Zr2 0.8340 0.6660 0.0000
In1 0.5000 0.5000 0.0000
Zr3 0.6660 0.1660 0.0000
Au2 0.3710 0.1290 0.5000
In2 0.0000 0.0000 0.0000
Au3 0.8710 0.3710 0.5000
Zr4 0.3340 0.8340 0.0000
Au4 0.6290 0.8710 0.5000
# SG: P4/mbm (127)
# total magnetic moment: 0.0 μB/f.u.

=====

Which of them is the most stable, and which is the least stable? *a* and *b*, in that order.

=====

*a*
# Zr4InAu (GGA-PBE, optimized geometry)
data_Zr4InAu
_symmetry_space_group_name_H-M 'P 1'
_symmetry_Int_Tables_number 1
_cell_length_a 5.7290
_cell_length_b 5.7290
_cell_length_c 5.7290
_cell_angle_alpha 60.00
_cell_angle_beta 60.00
_cell_angle_gamma 60.00
loop_
_symmetry_equiv_pos_as_xyz
'x,y,z'
loop_
_atom_site_label
_atom_site_fract_x
_atom_site_fract_y
_atom_site_fract_z
In1 0.0000 0.0000 0.0000
Zr1 0.3746 0.3746 0.3746
Zr2 0.3746 0.8763 0.3746
Zr3 0.3746 0.3746 0.8763
Zr4 0.8763 0.3746 0.3746
Au1 0.7500 0.7500 0.7500
# SG: F-43m (216)
# total magnetic moment: 0.0 μB/f.u.

=====

*b*
# Zr4InAu (GGA-PBE, optimized geometry)
data_Zr4InAu
_symmetry_space_group_name_H-M 'P 1'
_symmetry_Int_Tables_number 1
_cell_length_a 5.6481
_cell_length_b 7.6012
_cell_length_c 7.4676
_cell_angle_alpha 65.86
_cell_angle_beta 112.22
_cell_angle_gamma 90.00
loop_
_symmetry_equiv_pos_as_xyz
'x,y,z'
loop_
_atom_site_label
_atom_site_fract_x
_atom_site_fract_y
_atom_site_fract_z
Zr1 0.3420 0.9120 0.3451
Zr2 0.2818 0.1640 0.8321
Au1 0.5000 0.5000 0.5000
In1 0.1399 0.7500 0.0000
Zr3 0.7182 0.8360 0.1679
Zr4 0.9970 0.5880 0.6549
Zr5 0.0030 0.4120 0.3451
Zr6 0.6580 0.0880 0.6549
Zr7 0.5503 0.6640 0.8321
Au2 0.0000 0.0000 0.5000
In2 0.8601 0.2500 0.0000
Zr8 0.4497 0.3360 0.1679
# SG: C2/c (15)
# total magnetic moment: 0.0 μB/f.u.

=====

Which of them is the most stable, and which is the least stable? *b* and *a*, in that order.

=====

*a*
# ZrInAu3 (GGA-PBE, optimized geometry)
data_ZrInAu3
_symmetry_space_group_name_H-M 'P 1'
_symmetry_Int_Tables_number 1
_cell_length_a 5.3174
_cell_length_b 5.3174
_cell_length_c 5.3174
_cell_angle_alpha 90.00
_cell_angle_beta 90.00
_cell_angle_gamma 90.00
loop_
_symmetry_equiv_pos_as_xyz
'x,y,z'
loop_
_atom_site_label
_atom_site_fract_x
_atom_site_fract_y
_atom_site_fract_z
Au1 0.0000 0.5000 0.0000
In1 0.5000 0.5000 0.5000
Au2 0.5000 0.0000 0.0000
Au3 0.0000 0.0000 0.5000
Zr1 0.0000 0.0000 0.0000
# SG: Pm-3m (221)
# total magnetic moment: 0.0 μB/f.u.

=====

*b*
# ZrInAu3 (GGA-PBE, optimized geometry)
data_ZrInAu3
_symmetry_space_group_name_H-M 'P 1'
_symmetry_Int_Tables_number 1
_cell_length_a 3.5151
_cell_length_b 4.7890
_cell_length_c 12.0775
_cell_angle_alpha 82.50
_cell_angle_beta 90.00
_cell_angle_gamma 89.99
loop_
_symmetry_equiv_pos_as_xyz
'x,y,z'
loop_
_atom_site_label
_atom_site_fract_x
_atom_site_fract_y
_atom_site_fract_z
Zr1 0.9993 0.6521 0.9818
Zr2 0.9999 0.0739 0.2240
Au1 0.4982 0.5937 0.1738
In1 0.4993 0.2362 0.6372
Au2 0.9996 0.7336 0.5983
Au3 0.5003 0.0054 0.4179
Au4 0.9998 0.1932 0.8400
Au5 0.5003 0.1389 0.0332
Au6 0.4995 0.7041 0.7929
In2 0.0001 0.5088 0.3914
# SG: Pm (6)
# total magnetic moment: 0.0 μB/f.u.

=====

Which of them is the most stable, and which is the least stable? *b* and *a*, in that order.

=====

*a*
# ZrIn2Au2 (GGA-PBE, optimized geometry)
data_ZrIn2Au2
_symmetry_space_group_name_H-M 'P 1'
_symmetry_Int_Tables_number 1
_cell_length_a 7.7005
_cell_length_b 7.7005
_cell_length_c 3.6186
_cell_angle_alpha 90.00
_cell_angle_beta 90.00
_cell_angle_gamma 90.00
loop_
_symmetry_equiv_pos_as_xyz
'x,y,z'
loop_
_atom_site_label
_atom_site_fract_x
_atom_site_fract_y
_atom_site_fract_z
In1 0.3256 0.1744 0.5000
Au1 0.3707 0.8707 0.0000
In2 0.8256 0.3256 0.5000
In3 0.1744 0.6744 0.5000
Zr1 0.5000 0.5000 0.0000
Au2 0.8707 0.6293 0.0000
Au3 0.6293 0.1293 0.0000
Zr2 0.0000 0.0000 0.0000
In4 0.6744 0.8256 0.5000
Au4 0.1293 0.3707 0.0000
# SG: P4/mbm (127)
# total magnetic moment: 0.0 μB/f.u.

=====

*b*
# ZrIn2Au2 (GGA-PBE, optimized geometry)
data_ZrIn2Au2
_symmetry_space_group_name_H-M 'P 1'
_symmetry_Int_Tables_number 1
_cell_length_a 8.1025
_cell_length_b 8.1025
_cell_length_c 3.2103
_cell_angle_alpha 90.00
_cell_angle_beta 90.00
_cell_angle_gamma 90.00
loop_
_symmetry_equiv_pos_as_xyz
'x,y,z'
loop_
_atom_site_label
_atom_site_fract_x
_atom_site_fract_y
_atom_site_fract_z
Au1 0.3347 0.1653 0.5000
Au2 0.6653 0.8347 0.5000
Au3 0.1653 0.6653 0.5000
Zr1 0.0000 0.0000 0.0000
Au4 0.8347 0.3347 0.5000
In1 0.1353 0.3647 0.0000
In2 0.8647 0.6353 0.0000
In3 0.6353 0.1353 0.0000
Zr2 0.5000 0.5000 0.0000
In4 0.3647 0.8647 0.0000
# SG: P4/mbm (127)
# total magnetic moment: 0.0 μB/f.u.

=====

Which of them is the most stable, and which is the least stable? *a* and *b*, in that order.

=====

*a*
# IrAu2 (GGA-PBE, optimized geometry)
data_IrAu2
_symmetry_space_group_name_H-M 'P 1'
_symmetry_Int_Tables_number 1
_cell_length_a 6.2935
_cell_length_b 6.2935
_cell_length_c 6.2935
_cell_angle_alpha 90.00
_cell_angle_beta 90.00
_cell_angle_gamma 90.00
loop_
_symmetry_equiv_pos_as_xyz
'x,y,z'
loop_
_atom_site_label
_atom_site_fract_x
_atom_site_fract_y
_atom_site_fract_z
Ir1 0.0000 0.0000 0.0000
Au1 0.1363 0.8637 0.3637
Au2 0.6363 0.6363 0.6363
Au3 0.3637 0.1363 0.8637
Au4 0.8637 0.1363 0.6363
Ir2 0.5000 0.5000 0.0000
Au5 0.3637 0.3637 0.3637
Ir3 0.5000 0.0000 0.5000
Au6 0.1363 0.6363 0.8637
Au7 0.6363 0.8637 0.1363
Ir4 0.0000 0.5000 0.5000
Au8 0.8637 0.3637 0.1363
# SG: Pa-3 (205)
# total magnetic moment: 0.0 μB/f.u.

=====

*b*
# IrAu2 (GGA-PBE, optimized geometry)
data_IrAu2
_symmetry_space_group_name_H-M 'P 1'
_symmetry_Int_Tables_number 1
_cell_length_a 8.0039
_cell_length_b 8.0039
_cell_length_c 2.7688
_cell_angle_alpha 90.00
_cell_angle_beta 90.00
_cell_angle_gamma 120.00
loop_
_symmetry_equiv_pos_as_xyz
'x,y,z'
loop_
_atom_site_label
_atom_site_fract_x
_atom_site_fract_y
_atom_site_fract_z
Au1 0.3011 0.0000 0.0000
Au2 0.0000 0.6310 0.5000
Au3 0.0000 0.3011 0.0000
Au4 0.3690 0.3690 0.5000
Au5 0.6310 0.0000 0.5000
Ir1 0.3333 0.6667 0.0000
Au6 0.6989 0.6989 0.0000
Ir2 0.0000 0.0000 0.5000
Ir3 0.6667 0.3333 0.0000
# SG: P-62m (189)
# total magnetic moment: 0.4 μB/f.u.

=====

*c*
# IrAu2 (GGA-PBE, optimized geometry)
data_IrAu2
_symmetry_space_group_name_H-M 'P 1'
_symmetry_Int_Tables_number 1
_cell_length_a 6.4666
_cell_length_b 6.4666
_cell_length_c 3.9490
_cell_angle_alpha 90.00
_cell_angle_beta 90.00
_cell_angle_gamma 142.00
loop_
_symmetry_equiv_pos_as_xyz
'x,y,z'
loop_
_atom_site_label
_atom_site_fract_x
_atom_site_fract_y
_atom_site_fract_z
Au1 0.5851 0.4149 0.7500
Au2 0.2475 0.7525 0.7500
Ir1 0.9293 0.0707 0.7500
Ir2 0.0707 0.9293 0.2500
Au3 0.4149 0.5851 0.2500
Au4 0.7525 0.2475 0.2500
# SG: Cmcm (63)
# total magnetic moment: 0.4 μB/f.u.

=====

*d*
# IrAu2 (GGA-PBE, optimized geometry)
data_IrAu2
_symmetry_space_group_name_H-M 'P 1'
_symmetry_Int_Tables_number 1
_cell_length_a 5.2855
_cell_length_b 5.2855
_cell_length_c 5.2855
_cell_angle_alpha 103.22
_cell_angle_beta 103.22
_cell_angle_gamma 122.86
loop_
_symmetry_equiv_pos_as_xyz
'x,y,z'
loop_
_atom_site_label
_atom_site_fract_x
_atom_site_fract_y
_atom_site_fract_z
Ir1 0.2500 0.2500 0.0000
Au1 0.8421 0.6579 0.5000
Au2 0.3421 0.8421 0.1842
Au3 0.1579 0.3421 0.5000
Au4 0.6579 0.1579 0.8158
Ir2 0.7500 0.7500 0.0000
# SG: I4/mcm (140)
# total magnetic moment: 0.0 μB/f.u.

=====

Which of them is the most stable, and which is the least stable? *c* and *a*, in that order.

=====

*a*
# IrAu2 (GGA-PBE, optimized geometry)
data_IrAu2
_symmetry_space_group_name_H-M 'P 1'
_symmetry_Int_Tables_number 1
_cell_length_a 6.6953
_cell_length_b 6.6953
_cell_length_c 6.6953
_cell_angle_alpha 155.77
_cell_angle_beta 155.77
_cell_angle_gamma 34.54
loop_
_symmetry_equiv_pos_as_xyz
'x,y,z'
loop_
_atom_site_label
_atom_site_fract_x
_atom_site_fract_y
_atom_site_fract_z
Au1 0.3378 0.3378 0.0000
Ir1 0.0000 0.0000 0.0000
Au2 0.6622 0.6622 0.0000
# SG: I4/mmm (139)
# total magnetic moment: 0.3 μB/f.u.

=====

*b*
# IrAu2 (GGA-PBE, optimized geometry)
data_IrAu2
_symmetry_space_group_name_H-M 'P 1'
_symmetry_Int_Tables_number 1
_cell_length_a 4.6166
_cell_length_b 4.6166
_cell_length_c 5.5737
_cell_angle_alpha 90.00
_cell_angle_beta 90.00
_cell_angle_gamma 120.00
loop_
_symmetry_equiv_pos_as_xyz
'x,y,z'
loop_
_atom_site_label
_atom_site_fract_x
_atom_site_fract_y
_atom_site_fract_z
Au1 0.3333 0.6667 0.2500
Au2 0.6667 0.3333 0.7500
Ir1 0.6667 0.3333 0.2500
Au3 0.0000 0.0000 0.5000
Au4 0.0000 0.0000 0.0000
Ir2 0.3333 0.6667 0.7500
# SG: P6_3/mmc (194)
# total magnetic moment: 0.3 μB/f.u.

=====

*c*
# IrAu2 (GGA-PBE, optimized geometry)
data_IrAu2
_symmetry_space_group_name_H-M 'P 1'
_symmetry_Int_Tables_number 1
_cell_length_a 5.5803
_cell_length_b 5.5803
_cell_length_c 6.9430
_cell_angle_alpha 73.58
_cell_angle_beta 73.58
_cell_angle_gamma 29.46
loop_
_symmetry_equiv_pos_as_xyz
'x,y,z'
loop_
_atom_site_label
_atom_site_fract_x
_atom_site_fract_y
_atom_site_fract_z
Au1 0.6570 0.6570 0.6695
Au2 0.3368 0.3368 0.3398
Au3 0.6177 0.6177 0.2722
Au4 0.9996 0.9996 0.0051
Ir1 0.2884 0.2884 0.9221
Ir2 0.9339 0.9339 0.6246
# SG: Cm (8)
# total magnetic moment: 0.0 μB/f.u.

=====

*d*
# IrAu2 (GGA-PBE, optimized geometry)
data_IrAu2
_symmetry_space_group_name_H-M 'P 1'
_symmetry_Int_Tables_number 1
_cell_length_a 5.0657
_cell_length_b 5.0657
_cell_length_c 5.0657
_cell_angle_alpha 147.97
_cell_angle_beta 132.36
_cell_angle_gamma 58.56
loop_
_symmetry_equiv_pos_as_xyz
'x,y,z'
loop_
_atom_site_label
_atom_site_fract_x
_atom_site_fract_y
_atom_site_fract_z
Au1 0.6629 0.6629 0.0000
Ir1 0.0000 0.0000 0.0000
Au2 0.3371 0.3371 0.0000
# SG: Immm (71)
# total magnetic moment: 0.0 μB/f.u.

=====

Which of them is the most stable, and which is the least stable? *c* and *b*, in that order.

=====

*a*
# IrAu5 (GGA-PBE, optimized geometry)
data_IrAu5
_symmetry_space_group_name_H-M 'P 1'
_symmetry_Int_Tables_number 1
_cell_length_a 7.6655
_cell_length_b 7.6655
_cell_length_c 4.8696
_cell_angle_alpha 90.00
_cell_angle_beta 90.00
_cell_angle_gamma 158.56
loop_
_symmetry_equiv_pos_as_xyz
'x,y,z'
loop_
_atom_site_label
_atom_site_fract_x
_atom_site_fract_y
_atom_site_fract_z
Au1 0.7747 0.2253 0.5000
Ir1 0.1125 0.8875 0.5000
Au2 0.6633 0.3367 0.0000
Au3 0.3339 0.6661 0.0000
Au4 0.0009 0.9991 0.0000
Au5 0.4481 0.5519 0.5000
# SG: Amm2 (38)
# total magnetic moment: 0.0 μB/f.u.

=====

*b*
# IrAu5 (GGA-PBE, optimized geometry)
data_IrAu5
_symmetry_space_group_name_H-M 'P 1'
_symmetry_Int_Tables_number 1
_cell_length_a 5.4087
_cell_length_b 5.4087
_cell_length_c 5.4087
_cell_angle_alpha 60.00
_cell_angle_beta 60.00
_cell_angle_gamma 60.00
loop_
_symmetry_equiv_pos_as_xyz
'x,y,z'
loop_
_atom_site_label
_atom_site_fract_x
_atom_site_fract_y
_atom_site_fract_z
Ir1 0.0000 0.0000 0.0000
Au1 0.3748 0.3748 0.3748
Au2 0.3748 0.3748 0.8756
Au3 0.3748 0.8756 0.3748
Au4 0.7500 0.7500 0.7500
Au5 0.8756 0.3748 0.3748
# SG: F-43m (216)
# total magnetic moment: 0.0 μB/f.u.

=====

*c*
# IrAu5 (GGA-PBE, optimized geometry)
data_IrAu5
_symmetry_space_group_name_H-M 'P 1'
_symmetry_Int_Tables_number 1
_cell_length_a 5.3211
_cell_length_b 5.3211
_cell_length_c 4.8366
_cell_angle_alpha 90.00
_cell_angle_beta 90.00
_cell_angle_gamma 120.00
loop_
_symmetry_equiv_pos_as_xyz
'x,y,z'
loop_
_atom_site_label
_atom_site_fract_x
_atom_site_fract_y
_atom_site_fract_z
Au1 0.6667 0.3333 0.0000
Au2 0.0000 0.5000 0.5000
Au3 0.5000 0.0000 0.5000
Au4 0.3333 0.6667 0.0000
Ir1 0.0000 0.0000 0.0000
Au5 0.5000 0.5000 0.5000
# SG: P6/mmm (191)
# total magnetic moment: 1.3 μB/f.u.

=====

*d*
# IrAu5 (GGA-PBE, optimized geometry)
data_IrAu5
_symmetry_space_group_name_H-M 'P 1'
_symmetry_Int_Tables_number 1
_cell_length_a 4.2162
_cell_length_b 4.2213
_cell_length_c 6.2406
_cell_angle_alpha 109.77
_cell_angle_beta 90.00
_cell_angle_gamma 90.00
loop_
_symmetry_equiv_pos_as_xyz
'x,y,z'
loop_
_atom_site_label
_atom_site_fract_x
_atom_site_fract_y
_atom_site_fract_z
Au1 0.0000 0.3348 0.6696
Ir1 0.0000 0.0000 0.0000
Au2 0.5000 0.8367 0.6733
Au3 0.0000 0.6652 0.3304
Au4 0.5000 0.5000 0.0000
Au5 0.5000 0.1633 0.3267
# SG: Cmmm (65)
# total magnetic moment: 0.0 μB/f.u.

=====

Which of them is the most stable, and which is the least stable? *a* and *c*, in that order.